(1)
A plane-wave DFT calculation with PBE was carried out for a relaxed structure of Ba4HN.

As for the distance to the lowest polymorph of the same formula: 0.0 meV/atom. As for the density of states at the Fermi level: 3.4 states/eV/f.u. As for the calculated density: 3.5 g/cm3.

a b c (Å): 10.2708 10.5474 9.8307
angles (deg): 90.00 90.00 90.00
With the nearest neighbours (Å) after each atom.
Space group Cmcm (No. 63)
Inequivalent atoms, fractional coordinates:
Ba 0.0000 0.2089 0.0417  1 N 2.50
Ba 0.2066 0.4747 0.2500  1 N 2.52
H 0.0000 0.0202 0.2500  4 Ba 2.86-3.05
N 0.0000 0.3456 0.2500  4 Ba 2.50-2.52


(2)
A plane-wave DFT calculation with PBE was carried out for a relaxed structure of Pm2YAg3.

As for the density of states at the Fermi level: 3.5 states/eV/f.u. As for the calculated density: 7.7 g/cm3. For the calculated formation energy, the calculation gives -292 meV per atom.

a b c (Å): 3.6804 3.6804 11.2247
angles (deg): 90.00 90.00 90.00
With the nearest neighbours (Å) after each atom.
Space group P4/mmm (No. 123)
Inequivalent atoms, fractional coordinates:
Pm 0.0000 0.0000 0.1697  8 Ag 3.22-3.24
Y 0.0000 0.0000 0.5000  8 Ag 3.15
Ag 0.5000 0.5000 0.0000  8 Pm 3.22
Ag 0.5000 0.5000 0.3423  4 Y 3.15, 4 Pm 3.24


(3)
A plane-wave DFT calculation with PBE was carried out for a relaxed structure of SrPaMnS6.

The value obtained for the uncorrected formation energy is -91.9 kJ/mol of atoms. As for the density of states at the Fermi level: 7.4 states/eV/f.u. As for the calculated density: 4.3 g/cm3.

a b c (Å): 6.5813 6.5813 5.7956
angles (deg): 90.00 90.00 120.00
With the nearest neighbours (Å) after each atom.
Space group P312 (No. 149)
Inequivalent atoms, fractional coordinates:
Sr 0.0000 0.0000 0.0000  6 S 2.93
Pa 0.6667 0.3333 0.5000  6 S 2.64
Mn 0.3333 0.6667 0.0000  6 S 2.35
S 0.0237 0.4042 0.2374  1 Mn 2.35


(4)
A plane-wave DFT calculation with PBE was carried out for a relaxed structure of CuRuSe.

As for the distance to the lowest polymorph of the same formula: 5.0 meV/atom. The value obtained for the uncorrected formation energy is 8.1 kJ/mol of atoms. As for the density of states at the Fermi level: 1.8 states/eV/f.u. As for the calculated density: 7.2 g/cm3.

a b c (Å): 3.0939 4.3414 8.6944
angles (deg): 103.65 100.22 90.01
With the nearest neighbours (Å) after each atom.
Space group P-1 (No. 2)
Inequivalent atoms, fractional coordinates:
Cu 0.0639 0.2118 0.1282  1 Se 2.43, 1 Cu 2.50, 4 Ru 2.64-2.69
Ru 0.4385 0.2842 0.8763  2 Se 2.40, 1 Ru 2.47, 4 Cu 2.64-2.69
Se 0.1679 0.7025 0.3371  2 Ru 2.40, 1 Cu 2.43


> calculated density of number 2 (Pm2YAg3)?

7.7 g/cm3


> Which value of calculated density does entry 2 give?

7.7 g/cm3


> What is the calculated density in the second record?

7.7 g/cm3